No. 1
Ni2Pt2Au: optimized geometry, PBE-GGA.

Energy of formation from the pure elements, meV/atom: 81.4

Structure (CIF):
```
data_Ni2Pt2Au
_symmetry_space_group_name_H-M 'P 4/m b m'
_symmetry_Int_Tables_number 127
_symmetry_space_group_name_Hall '-P 4 2ab'
_cell_length_a 7.337
_cell_length_b 7.337
_cell_length_c 2.740
_cell_angle_alpha 90.00
_cell_angle_beta 90.00
_cell_angle_gamma 90.00
loop_
_atom_site_label
_atom_site_type_symbol
_atom_site_fract_x
_atom_site_fract_y
_atom_site_fract_z
_atom_site_occupancy
Ni1 Ni 0.121 0.379 0.000 1
Pt1 Pt 0.173 0.673 0.500 1
Au1 Au 0.000 0.000 0.000 1
```


No. 2
LaCo3Rh: optimized geometry, PBE-GGA.

Energy of formation from the pure elements, meV/atom: 1656.8

Structure (CIF):
```
data_LaCo3Rh
_symmetry_space_group_name_H-M 'P m -3 m'
_symmetry_Int_Tables_number 221
_symmetry_space_group_name_Hall '-P 4 2 3'
_cell_length_a 4.455
_cell_length_b 4.455
_cell_length_c 4.455
_cell_angle_alpha 90.00
_cell_angle_beta 90.00
_cell_angle_gamma 90.00
loop_
_atom_site_label
_atom_site_type_symbol
_atom_site_fract_x
_atom_site_fract_y
_atom_site_fract_z
_atom_site_occupancy
La1 La 0.000 0.000 0.000 1
Co1 Co 0.000 0.000 0.500 1
Rh1 Rh 0.500 0.500 0.500 1
```


No. 3
Ac2PrIr2: optimized geometry, PBE-GGA.

Energy of formation from the pure elements, meV/atom: -527.5

Structure (CIF):
```
data_Ac2PrIr2
_symmetry_space_group_name_H-M 'C m c 21'
_symmetry_Int_Tables_number 36
_cell_length_a 4.414
_cell_length_b 19.874
_cell_length_c 7.515
_cell_angle_alpha 90.00
_cell_angle_beta 90.00
_cell_angle_gamma 90.00
loop_
_symmetry_equiv_pos_as_xyz
'x,y,z'
'-x,-y,z+1/2'
'-x,y,z'
'x,-y,z+1/2'
'x+1/2,y+1/2,z'
'-x+1/2,-y+1/2,z+1/2'
'-x+1/2,y+1/2,z'
'x+1/2,-y+1/2,z+1/2'
loop_
_atom_site_label
_atom_site_type_symbol
_atom_site_fract_x
_atom_site_fract_y
_atom_site_fract_z
_atom_site_occupancy
Ac1 Ac 0.000 0.087 0.000 1
Ac2 Ac 0.000 0.250 0.671 1
Pr1 Pr 0.000 0.406 0.003 1
Ir1 Ir 0.000 0.163 0.339 1
Ir2 Ir 0.000 0.336 0.336 1
```


No. 4
Tc3Hg: optimized geometry, PBE-GGA.

Energy of formation from the pure elements, meV/atom: 335.6

Structure (CIF):
```
data_Tc3Hg
_symmetry_space_group_name_H-M 'P 4/m m m'
_symmetry_Int_Tables_number 123
_symmetry_space_group_name_Hall '-P 4 2'
_cell_length_a 2.827
_cell_length_b 2.827
_cell_length_c 8.035
_cell_angle_alpha 90.00
_cell_angle_beta 90.00
_cell_angle_gamma 90.00
loop_
_atom_site_label
_atom_site_type_symbol
_atom_site_fract_x
_atom_site_fract_y
_atom_site_fract_z
_atom_site_occupancy
Tc1 Tc 0.000 0.000 0.000 1
Tc2 Tc 0.500 0.500 0.224 1
Hg1 Hg 0.000 0.000 0.500 1
```


No. 5
CrFe2GeC: optimized geometry, PBE-GGA.

Energy of formation from the pure elements, meV/atom: 16.5

Structure (CIF):
```
data_CrFe2GeC
_symmetry_space_group_name_H-M 'P 4/m m m'
_symmetry_Int_Tables_number 123
_symmetry_space_group_name_Hall '-P 4 2'
_cell_length_a 3.769
_cell_length_b 3.769
_cell_length_c 3.855
_cell_angle_alpha 90.00
_cell_angle_beta 90.00
_cell_angle_gamma 90.00
loop_
_atom_site_label
_atom_site_type_symbol
_atom_site_fract_x
_atom_site_fract_y
_atom_site_fract_z
_atom_site_occupancy
Cr1 Cr 0.000 0.000 0.000 1
Fe1 Fe 0.000 0.500 0.500 1
Ge1 Ge 0.500 0.500 0.000 1
C1 C 0.000 0.000 0.500 1
```


No. 6
La3Pm3Co2: optimized geometry, PBE-GGA.

Energy of formation from the pure elements, meV/atom: 4.1

Structure (CIF):
```
data_La3Pm3Co2
_symmetry_space_group_name_H-M 'C m c m'
_symmetry_Int_Tables_number 63
_symmetry_space_group_name_Hall '-C 2c 2'
_cell_length_a 3.724
_cell_length_b 13.696
_cell_length_c 18.969
_cell_angle_alpha 90.00
_cell_angle_beta 90.00
_cell_angle_gamma 90.00
loop_
_atom_site_label
_atom_site_type_symbol
_atom_site_fract_x
_atom_site_fract_y
_atom_site_fract_z
_atom_site_occupancy
La1 La 0.000 0.056 0.250 1
La2 La 0.000 0.178 0.570 1
Pm1 Pm 0.000 0.222 0.750 1
Pm2 Pm 0.000 0.432 0.586 1
Co1 Co 0.000 0.198 0.140 1
```


No. 7
Ca2SbRh: optimized geometry, PBE-GGA.

Uncorrected formation energy, eV per atom: -0.410

Structure (CIF):
```
data_Ca2SbRh
_symmetry_space_group_name_H-M 'P 4 m m'
_symmetry_Int_Tables_number 99
_cell_length_a 3.559
_cell_length_b 3.559
_cell_length_c 8.479
_cell_angle_alpha 90.00
_cell_angle_beta 90.00
_cell_angle_gamma 90.00
loop_
_symmetry_equiv_pos_as_xyz
'x,y,z'
'-y,x,z'
'-x,-y,z'
'y,-x,z'
'-x,y,z'
'y,x,z'
'x,-y,z'
'-y,-x,z'
loop_
_atom_site_label
_atom_site_type_symbol
_atom_site_fract_x
_atom_site_fract_y
_atom_site_fract_z
_atom_site_occupancy
Ca1 Ca 0.000 0.000 0.000 1
Ca2 Ca 0.500 0.500 0.370 1
Sb1 Sb 0.500 0.500 0.743 1
Rh1 Rh 0.000 0.000 0.617 1
```


No. 8
SrAlTlIn: optimized geometry, PBE-GGA.

Energy of formation from the pure elements, meV/atom: -93.6

Structure (CIF):
```
data_SrAlTlIn
_symmetry_space_group_name_H-M 'F -4 3 m'
_symmetry_Int_Tables_number 216
_symmetry_space_group_name_Hall 'F -4 2 3'
_cell_length_a 7.651
_cell_length_b 7.651
_cell_length_c 7.651
_cell_angle_alpha 90.00
_cell_angle_beta 90.00
_cell_angle_gamma 90.00
loop_
_atom_site_label
_atom_site_type_symbol
_atom_site_fract_x
_atom_site_fract_y
_atom_site_fract_z
_atom_site_occupancy
Sr1 Sr 0.000 0.000 0.000 1
Al1 Al 0.000 0.000 0.500 1
Tl1 Tl 0.250 0.250 0.750 1
In1 In 0.250 0.250 0.250 1
```